A plane-wave DFT calculation with PBE was carried out for Y3ErPa2N6 after structural relaxation.

Unit cell a=6.0273 b=10.4414 c=6.0246 alpha=90.00 beta=109.44 gamma=90.00
Last column: nearest neighbours and their distance in Å.
Space group C2/m (No. 12)
One atom of each set of equivalent atoms:
Y 0.0000 0.0000 0.0000 [2 per cell]  6 N 2.46-2.53
Y 0.0000 0.3345 0.0000 [4 per cell]  6 N 2.48-2.53
Er 0.0000 0.5000 0.5000 [2 per cell]  6 N 2.46
Pa 0.0000 0.1667 0.5000 [4 per cell]  6 N 2.39-2.41
N 0.2389 0.0000 0.7386 [4 per cell]  2 Pa 2.41, 1 Er 2.46, 3 Y 2.46-2.51
N 0.2504 0.1708 0.2643 [8 per cell]  2 Pa 2.39-2.40, 1 Er 2.46, 3 Y 2.48-2.53

Magnetic moment ... 0.000 μB/atom
Uncorrected formation energy ... -1.702 eV per atom